6
Lattice="-3.4690 -0.2425 3.5571 -1.1108 -0.6381 -4.8067 0.7856 -4.7167 0.4446" Properties=species:S:1:pos:R:3 comment="VAu2 PBE relaxed" total_magnetization_mub_per_fu=1.88 e_tot_ev_per_atom=-5.207 space_group=Cmcm formation_energy_ev_per_atom=0.02 pbc="T T T"
Au -2.7257 -1.8781 -2.1404
Au -0.3070 -3.8469 -1.3652
Au -1.0684 -3.7192 1.3354
Au -3.4872 -1.7504 0.5603
V -2.9927 -4.2262 -0.6438
V -0.8015 -1.3710 -0.1611